A plane-wave DFT calculation with PBE was carried out for crystalline AgMo2Os at its relaxed geometry.

Cell and atoms, written as extended XYZ:
```
4
Lattice="0.000 3.169 3.169 3.169 0.000 3.169 3.169 3.169 0.000" Properties=species:S:1:pos:R:3 pbc="T T T"
Ag 0.000 0.000 0.000
Mo 1.585 1.585 1.585
Mo 4.754 4.754 4.754
Os 3.169 3.169 3.169
```

## Properties
The polymorph energy (0 for the lowest one) comes out at 358 meV/atom. The value obtained for the formation energy from the elements is 0.6398 eV per atom. As for the space-group type: Fm-3m (225). The calculation puts the size of the total moment at 0.00 μB per formula unit.